[1]
VASP calculation (PBE) on a relaxed Hf2TaAs2 crystal.

Cell and atoms, written as CIF:
```
data_Hf2TaAs2
_cell_length_a 7.074
_cell_length_b 7.074
_cell_length_c 3.628
_cell_angle_alpha 90.00
_cell_angle_beta 90.00
_cell_angle_gamma 90.00
_space_group_name_H-M_alt 'P 4/m b m'
_space_group_IT_number 127
_space_group_name_Hall '-P 4 2ab'
loop_
_atom_site_label
_atom_site_type_symbol
_atom_site_fract_x
_atom_site_fract_y
_atom_site_fract_z
Hf1 Hf 0.157 0.343 0.000
Ta1 Ta 0.000 0.000 0.500
As1 As 0.146 0.646 0.500
```

Properties
Energy relative to the elements ... -3.5 eV/f.u.
Excess energy over the best structure of this formula in the dataset ... 0.0 meV per atom

---

[2]
VASP calculation (PBE) on a relaxed HfTa2As crystal.

Cell and atoms, written as CIF:
```
data_HfTa2As
_cell_length_a 7.885
_cell_length_b 7.885
_cell_length_c 5.240
_cell_angle_alpha 90.00
_cell_angle_beta 90.00
_cell_angle_gamma 90.00
_space_group_name_H-M_alt 'I -4 2 d'
_space_group_IT_number 122
_space_group_name_Hall 'I -4 2bw'
loop_
_atom_site_label
_atom_site_type_symbol
_atom_site_fract_x
_atom_site_fract_y
_atom_site_fract_z
Hf1 Hf 0.000 0.000 0.000
Ta1 Ta 0.190 0.250 0.625
As1 As 0.000 0.000 0.500
```

Properties
Energy relative to the elements ... 0.9 eV/f.u.

---

[3]
VASP calculation (PBE) on a relaxed Hf2TaTcAs crystal.

Cell and atoms, written as CIF:
```
data_Hf2TaTcAs
_cell_length_a 4.975
_cell_length_b 4.975
_cell_length_c 4.557
_cell_angle_alpha 90.00
_cell_angle_beta 90.00
_cell_angle_gamma 90.00
_space_group_name_H-M_alt 'P 4/m m m'
_space_group_IT_number 123
_space_group_name_Hall '-P 4 2'
loop_
_atom_site_label
_atom_site_type_symbol
_atom_site_fract_x
_atom_site_fract_y
_atom_site_fract_z
Hf1 Hf 0.000 0.500 0.000
Ta1 Ta 0.000 0.000 0.500
Tc1 Tc 0.500 0.500 0.000
As1 As 0.500 0.500 0.500
```

Properties
Energy relative to the elements ... 4.0 eV/f.u.

---

[4]
VASP calculation (PBE) on a relaxed Tb3HfAs4 crystal.

Cell and atoms, written as CIF:
```
data_Tb3HfAs4
_cell_length_a 8.119
_cell_length_b 11.439
_cell_length_c 4.047
_cell_angle_alpha 90.00
_cell_angle_beta 90.00
_cell_angle_gamma 90.00
_space_group_name_H-M_alt 'C m m m'
_space_group_IT_number 65
_space_group_name_Hall '-C 2 2'
loop_
_atom_site_label
_atom_site_type_symbol
_atom_site_fract_x
_atom_site_fract_y
_atom_site_fract_z
Tb1 Tb 0.000 0.000 0.000
Tb2 Tb 0.250 0.250 0.500
Hf1 Hf 0.000 0.500 0.000
As1 As 0.000 0.257 0.000
As2 As 0.236 0.500 0.500
```

Properties
Energy relative to the elements ... -11.2 eV/f.u.

---

[5]
VASP calculation (PBE) on a relaxed TbHfAs2 crystal.

Cell and atoms, written as CIF:
```
data_TbHfAs2
_cell_length_a 3.9007
_cell_length_b 3.9007
_cell_length_c 20.4953
_cell_angle_alpha 90.00
_cell_angle_beta 90.00
_cell_angle_gamma 120.00
_space_group_name_H-M_alt 'R 3 m'
_space_group_IT_number 160
_space_group_name_Hall 'R 3 -2"'
loop_
_atom_site_label
_atom_site_type_symbol
_atom_site_fract_x
_atom_site_fract_y
_atom_site_fract_z
Tb1 Tb 0.0000 0.0000 0.0000
Hf1 Hf 0.0000 0.0000 0.1738
As1 As 0.0000 0.0000 0.5794
As2 As 0.0000 0.0000 0.7610
```

Properties
Energy relative to the elements ... -4.7 eV/f.u.
Excess energy over the best structure of this formula in the dataset ... 85.6 meV per atom

---

[6]
VASP calculation (PBE) on a relaxed Tb2HfAs3 crystal.

Cell and atoms, written as CIF:
```
data_Tb2HfAs3
_cell_length_a 4.033
_cell_length_b 4.033
_cell_length_c 17.021
_cell_angle_alpha 90.00
_cell_angle_beta 90.00
_cell_angle_gamma 90.00
_space_group_name_H-M_alt 'I 4/m m m'
_space_group_IT_number 139
_space_group_name_Hall '-I 4 2'
loop_
_atom_site_label
_atom_site_type_symbol
_atom_site_fract_x
_atom_site_fract_y
_atom_site_fract_z
Tb1 Tb 0.000 0.000 0.167
Hf1 Hf 0.000 0.000 0.500
As1 As 0.000 0.000 0.000
As2 As 0.000 0.000 0.339
```

Properties
Energy relative to the elements ... -7.9 eV/f.u.

---

[7]
VASP calculation (PBE) on a relaxed Tb5HfAs6 crystal.

Cell and atoms, written as CIF:
```
data_Tb5HfAs6
_cell_length_a 7.069
_cell_length_b 12.233
_cell_length_c 7.061
_cell_angle_alpha 90.00
_cell_angle_beta 109.56
_cell_angle_gamma 90.00
_space_group_name_H-M_alt 'C 1 2/m 1'
_space_group_IT_number 12
_space_group_name_Hall '-C 2y'
loop_
_atom_site_label
_atom_site_type_symbol
_atom_site_fract_x
_atom_site_fract_y
_atom_site_fract_z
Tb1 Tb 0.000 0.000 0.000
Tb2 Tb 0.000 0.166 0.500
Tb3 Tb 0.000 0.330 0.000
Hf1 Hf 0.000 0.500 0.500
As1 As 0.239 0.500 0.256
As2 As 0.241 0.339 0.742
```

Properties
Energy relative to the elements ... -17.4 eV/f.u.

---

[8]
VASP calculation (PBE) on a relaxed TbHfAs crystal.

Cell and atoms, written as CIF:
```
data_TbHfAs
_cell_length_a 4.087
_cell_length_b 4.087
_cell_length_c 15.896
_cell_angle_alpha 90.00
_cell_angle_beta 90.00
_cell_angle_gamma 90.00
_space_group_name_H-M_alt 'I 4/m m m'
_space_group_IT_number 139
_space_group_name_Hall '-I 4 2'
loop_
_atom_site_label
_atom_site_type_symbol
_atom_site_fract_x
_atom_site_fract_y
_atom_site_fract_z
Tb1 Tb 0.000 0.000 0.177
Hf1 Hf 0.000 0.500 0.000
As1 As 0.000 0.000 0.371
```

Properties
Energy relative to the elements ... -2.8 eV/f.u.

---

[9]
VASP calculation (PBE) on a relaxed TbHfAs2 crystal.

Cell and atoms, written as CIF:
```
data_TbHfAs2
_cell_length_a 3.9550
_cell_length_b 3.9550
_cell_length_c 19.6271
_cell_angle_alpha 90.00
_cell_angle_beta 90.00
_cell_angle_gamma 120.00
_space_group_name_H-M_alt 'R -3 m'
_space_group_IT_number 166
_space_group_name_Hall '-R 3 2"'
loop_
_atom_site_label
_atom_site_type_symbol
_atom_site_fract_x
_atom_site_fract_y
_atom_site_fract_z
Tb1 Tb 0.0000 0.0000 0.0000
Hf1 Hf 0.0000 0.0000 0.5000
As1 As 0.0000 0.0000 0.2439
```

Properties
Energy relative to the elements ... -5.0 eV/f.u.
Excess energy over the best structure of this formula in the dataset ... 0.0 meV per atom

---

[10]
VASP calculation (PBE) on a relaxed Tb5Hf3As8 crystal.

Cell and atoms, written as CIF:
```
data_Tb5Hf3As8
_cell_length_a 8.0063
_cell_length_b 8.0063
_cell_length_c 19.7273
_cell_angle_alpha 90.00
_cell_angle_beta 90.00
_cell_angle_gamma 120.00
_space_group_name_H-M_alt 'R -3 m'
_space_group_IT_number 166
_space_group_name_Hall '-R 3 2"'
loop_
_atom_site_label
_atom_site_type_symbol
_atom_site_fract_x
_atom_site_fract_y
_atom_site_fract_z
Tb1 Tb 0.0000 0.0000 0.0000
Tb2 Tb 0.0000 0.0000 0.5000
Tb3 Tb 0.0000 0.5000 0.0000
Hf1 Hf 0.0000 0.5000 0.5000
As1 As 0.0000 0.0000 0.2437
As2 As 0.0089 0.5044 0.7544
```

Properties
Energy relative to the elements ... -21.2 eV/f.u.

---

[11]
VASP calculation (PBE) on a relaxed Tb2HfThAs4 crystal.

Cell and atoms, written as CIF:
```
data_Tb2HfThAs4
_cell_length_a 7.076
_cell_length_b 4.094
_cell_length_c 7.097
_cell_angle_alpha 90.00
_cell_angle_beta 109.41
_cell_angle_gamma 90.00
_space_group_name_H-M_alt 'P 1 2/m 1'
_space_group_IT_number 10
_space_group_name_Hall '-P 2y'
loop_
_atom_site_label
_atom_site_type_symbol
_atom_site_fract_x
_atom_site_fract_y
_atom_site_fract_z
Tb1 Tb 0.000 0.000 0.000
Tb2 Tb 0.500 0.500 0.000
Hf1 Hf 0.000 0.500 0.500
Th1 Th 0.500 0.000 0.500
As1 As 0.233 0.000 0.739
As2 As 0.236 0.500 0.251
```

Properties
Energy relative to the elements ... -10.6 eV/f.u.

---

[12]
VASP calculation (PBE) on a relaxed Hf6Tc5As crystal.

Cell and atoms, written as CIF:
```
data_Hf6Tc5As
_cell_length_a 4.606
_cell_length_b 6.627
_cell_length_c 13.811
_cell_angle_alpha 90.00
_cell_angle_beta 90.00
_cell_angle_gamma 90.00
_space_group_name_H-M_alt 'I m m m'
_space_group_IT_number 71
_space_group_name_Hall '-I 2 2'
loop_
_atom_site_label
_atom_site_type_symbol
_atom_site_fract_x
_atom_site_fract_y
_atom_site_fract_z
Hf1 Hf 0.000 0.238 0.000
Hf2 Hf 0.000 0.255 0.330
Tc1 Tc 0.000 0.000 0.168
Tc2 Tc 0.000 0.500 0.163
Tc3 Tc 0.000 0.500 0.500
As1 As 0.000 0.000 0.500
```

Properties
Energy relative to the elements ... -6.3 eV/f.u.

---

[13]
VASP calculation (PBE) on a relaxed HfTc2As2 crystal.

Cell and atoms, written as CIF:
```
data_HfTc2As2
_cell_length_a 7.296
_cell_length_b 7.296
_cell_length_c 3.020
_cell_angle_alpha 90.00
_cell_angle_beta 90.00
_cell_angle_gamma 90.00
_space_group_name_H-M_alt 'P 4/m b m'
_space_group_IT_number 127
_space_group_name_Hall '-P 4 2ab'
loop_
_atom_site_label
_atom_site_type_symbol
_atom_site_fract_x
_atom_site_fract_y
_atom_site_fract_z
Hf1 Hf 0.000 0.000 0.000
Tc1 Tc 0.142 0.358 0.500
As1 As 0.153 0.653 0.000
```

Properties
Energy relative to the elements ... -1.0 eV/f.u.
Excess energy over the best structure of this formula in the dataset ... 0.0 meV per atom

---

[14]
VASP calculation (PBE) on a relaxed Hf4Tc7As6 crystal.

Cell and atoms, written as CIF:
```
data_Hf4Tc7As6
_cell_length_a 8.203
_cell_length_b 8.203
_cell_length_c 8.203
_cell_angle_alpha 90.00
_cell_angle_beta 90.00
_cell_angle_gamma 90.00
_space_group_name_H-M_alt 'I m -3 m'
_space_group_IT_number 229
_space_group_name_Hall '-I 4 2 3'
loop_
_atom_site_label
_atom_site_type_symbol
_atom_site_fract_x
_atom_site_fract_y
_atom_site_fract_z
Hf1 Hf 0.250 0.250 0.250
Tc1 Tc 0.000 0.000 0.000
Tc2 Tc 0.000 0.250 0.500
As1 As 0.000 0.000 0.306
```

Properties
Energy relative to the elements ... -9.9 eV/f.u.

---

[15]
VASP calculation (PBE) on a relaxed Hf2TcAs2 crystal.

Cell and atoms, written as CIF:
```
data_Hf2TcAs2
_cell_length_a 6.903
_cell_length_b 6.903
_cell_length_c 3.679
_cell_angle_alpha 90.00
_cell_angle_beta 90.00
_cell_angle_gamma 90.00
_space_group_name_H-M_alt 'P 4/m b m'
_space_group_IT_number 127
_space_group_name_Hall '-P 4 2ab'
loop_
_atom_site_label
_atom_site_type_symbol
_atom_site_fract_x
_atom_site_fract_y
_atom_site_fract_z
Hf1 Hf 0.156 0.344 0.000
Tc1 Tc 0.000 0.000 0.500
As1 As 0.149 0.649 0.500
```

Properties
Energy relative to the elements ... -3.0 eV/f.u.
Excess energy over the best structure of this formula in the dataset ... 0.0 meV per atom

---

[16]
VASP calculation (PBE) on a relaxed Hf2TcAs2 crystal.

Cell and atoms, written as CIF:
```
data_Hf2TcAs2
_cell_length_a 7.316
_cell_length_b 7.316
_cell_length_c 3.506
_cell_angle_alpha 90.00
_cell_angle_beta 90.00
_cell_angle_gamma 90.00
_space_group_name_H-M_alt 'P 4/m b m'
_space_group_IT_number 127
_space_group_name_Hall '-P 4 2ab'
loop_
_atom_site_label
_atom_site_type_symbol
_atom_site_fract_x
_atom_site_fract_y
_atom_site_fract_z
Hf1 Hf 0.151 0.349 0.000
Tc1 Tc 0.000 0.000 0.000
As1 As 0.155 0.655 0.500
```

Properties
Energy relative to the elements ... -0.6 eV/f.u.
Excess energy over the best structure of this formula in the dataset ... 495.6 meV per atom

---

[17]
VASP calculation (PBE) on a relaxed Hf2TcAs crystal.

Cell and atoms, written as CIF:
```
data_Hf2TcAs
_cell_length_a 3.0155
_cell_length_b 3.0155
_cell_length_c 29.0621
_cell_angle_alpha 90.00
_cell_angle_beta 90.00
_cell_angle_gamma 120.00
_space_group_name_H-M_alt 'R -3 m'
_space_group_IT_number 166
_space_group_name_Hall '-R 3 2"'
loop_
_atom_site_label
_atom_site_type_symbol
_atom_site_fract_x
_atom_site_fract_y
_atom_site_fract_z
Hf1 Hf 0.0000 0.0000 0.0865
Tc1 Tc 0.0000 0.0000 0.0000
As1 As 0.0000 0.0000 0.5000
```

Properties
Energy relative to the elements ... 0.9 eV/f.u.

---

[18]
VASP calculation (PBE) on a relaxed HfTcAs3 crystal.

Cell and atoms, written as CIF:
```
data_HfTcAs3
_cell_length_a 4.789
_cell_length_b 4.789
_cell_length_c 4.789
_cell_angle_alpha 90.00
_cell_angle_beta 90.00
_cell_angle_gamma 90.00
_space_group_name_H-M_alt 'P m -3 m'
_space_group_IT_number 221
_space_group_name_Hall '-P 4 2 3'
loop_
_atom_site_label
_atom_site_type_symbol
_atom_site_fract_x
_atom_site_fract_y
_atom_site_fract_z
Hf1 Hf 0.000 0.000 0.000
Tc1 Tc 0.500 0.500 0.500
As1 As 0.000 0.500 0.500
```

Properties
Energy relative to the elements ... 3.0 eV/f.u.
Excess energy over the best structure of this formula in the dataset ... 0.0 meV per atom

---

[19]
VASP calculation (PBE) on a relaxed Hf2TcAs crystal.

Cell and atoms, written as CIF:
```
data_Hf2TcAs
_cell_length_a 7.267
_cell_length_b 7.267
_cell_length_c 5.866
_cell_angle_alpha 90.00
_cell_angle_beta 90.00
_cell_angle_gamma 90.00
_space_group_name_H-M_alt 'I -4 2 d'
_space_group_IT_number 122
_space_group_name_Hall 'I -4 2bw'
loop_
_atom_site_label
_atom_site_type_symbol
_atom_site_fract_x
_atom_site_fract_y
_atom_site_fract_z
Hf1 Hf 0.245 0.750 0.125
Tc1 Tc 0.000 0.000 0.000
As1 As 0.000 0.000 0.500
```

Properties
Energy relative to the elements ... 0.1 eV/f.u.

---

[20]
VASP calculation (PBE) on a relaxed HfTcAs3 crystal.

Cell and atoms, written as CIF:
```
data_HfTcAs3
_cell_length_a 5.095
_cell_length_b 5.095
_cell_length_c 5.095
_cell_angle_alpha 90.00
_cell_angle_beta 90.00
_cell_angle_gamma 90.00
_space_group_name_H-M_alt 'P m -3 m'
_space_group_IT_number 221
_space_group_name_Hall '-P 4 2 3'
loop_
_atom_site_label
_atom_site_type_symbol
_atom_site_fract_x
_atom_site_fract_y
_atom_site_fract_z
Hf1 Hf 0.000 0.000 0.000
Tc1 Tc 0.500 0.500 0.500
As1 As 0.000 0.000 0.500
```

Properties
Energy relative to the elements ... 4.5 eV/f.u.
Excess energy over the best structure of this formula in the dataset ... 296.8 meV per atom